Material: MoWO2
Method: DFT, PBE with a Hubbard U
State: optimized geometry

Structure (POSCAR):
```
MoWO2
1.0
4.336 0.000 0.000
0.000 4.336 0.000
2.168 2.168 6.304
Mo W O
2 2 4
Direct
0.500 0.500 0.000 Mo
0.250 0.750 0.500 Mo
0.000 0.000 0.000 W
0.750 0.250 0.500 W
0.375 0.306 0.750 O
0.056 0.625 0.250 O
0.875 0.944 0.750 O
0.694 0.125 0.250 O
```

SG = I-42d (122)
total magnetization = 8.0 μB/cell
E_tot = -6.43 eV/atom
polymorph energy (0 for the lowest one) = 170 meV per atom